The following is a meta-GGA SCAN calculation of a PBEsol-optimized structure of Li2CaAg, from the Alexandria database.

Calculated values
Total magnetization in μB/atom: 0.000
SG: P4/mmm
Energy of formation in eV per atom: -0.070
Density in g cm⁻³: 3.16
DOS(E_F) in states/eV per cell: 2.0

POSCAR file:
```
Li2CaAg
1.0
3.5806 0.0000 0.0000
0.0000 3.5806 0.0000
0.0000 0.0000 6.6279
Li Ag Ca
2 1 1
direct
0.0000 0.0000 0.1851
0.0000 0.0000 0.8149
0.5000 0.5000 0.0000
0.5000 0.5000 0.5000
```